Record 1
{"formula": "Mn2CdBi", "functional": "GGA-PBE", "state": "relaxed", "cell": [[4.417, 0.000, 0.000], [0.000, 4.417, 0.000], [2.209, 2.209, 9.575]], "species": ["Mn", "Mn", "Mn", "Mn", "Bi", "Bi", "Cd", "Cd"], "frac_coords": [[0.614, 0.125, 0.250], [0.136, 0.625, 0.250], [0.375, 0.386, 0.750], [0.875, 0.864, 0.750], [0.000, 0.000, 0.000], [0.750, 0.250, 0.500], [0.500, 0.500, 0.000], [0.250, 0.750, 0.500]], "dos_ef_per_ev_atom": 1.375, "crystal_system": "tetragonal", "vol_a3_per_cell": 187, "ef_mev_per_atom": 652}

---

Record 2
{"formula": "MnCdBi2", "functional": "GGA-PBE", "state": "relaxed", "cell": [[6.467, 0.000, 0.000], [0.000, 6.467, 0.000], [3.233, 3.233, 6.215]], "species": ["Mn", "Mn", "Bi", "Bi", "Bi", "Bi", "Cd", "Cd"], "frac_coords": [[0.500, 0.500, 0.000], [0.250, 0.750, 0.500], [0.558, 0.125, 0.250], [0.192, 0.625, 0.250], [0.375, 0.442, 0.750], [0.875, 0.808, 0.750], [0.000, 0.000, 0.000], [0.750, 0.250, 0.500]], "dos_ef_per_ev_atom": 1.551, "crystal_system": "tetragonal", "vol_a3_per_cell": 260, "ef_mev_per_atom": 684}

---

Record 3
{"formula": "MnCd2Bi2", "functional": "GGA-PBE", "state": "relaxed", "cell": [[7.484, 0.000, 0.000], [0.000, 7.484, 0.000], [0.000, 0.000, 4.672]], "species": ["Mn", "Mn", "Bi", "Bi", "Bi", "Bi", "Cd", "Cd", "Cd", "Cd"], "frac_coords": [[0.000, 0.000, 0.000], [0.500, 0.500, 0.000], [0.165, 0.665, 0.500], [0.665, 0.835, 0.500], [0.835, 0.335, 0.500], [0.335, 0.165, 0.500], [0.358, 0.858, 0.000], [0.858, 0.642, 0.000], [0.642, 0.142, 0.000], [0.142, 0.358, 0.000]], "dos_ef_per_ev_atom": 0.759, "crystal_system": "tetragonal", "vol_a3_per_cell": 262, "ef_mev_per_atom": 352}

---

Record 4
{"formula": "MnCd3Bi", "functional": "GGA-PBE", "state": "relaxed", "cell": [[5.162, 0.000, 0.000], [0.000, 5.162, 0.000], [0.000, 0.000, 5.162]], "species": ["Mn", "Bi", "Cd", "Cd", "Cd"], "frac_coords": [[0.000, 0.000, 0.000], [0.500, 0.500, 0.500], [0.000, 0.500, 0.000], [0.000, 0.000, 0.500], [0.500, 0.000, 0.000]], "dos_ef_per_ev_atom": 0.686, "crystal_system": "cubic", "vol_a3_per_cell": 138, "ef_mev_per_atom": 539}

---

Record 5
{"formula": "Mn2CdBi2", "functional": "GGA-PBE", "state": "relaxed", "cell": [[7.557, 0.000, 0.000], [0.000, 7.557, 0.000], [0.000, 0.000, 3.904]], "species": ["Mn", "Mn", "Mn", "Mn", "Bi", "Bi", "Bi", "Bi", "Cd", "Cd"], "frac_coords": [[0.373, 0.873, 0.000], [0.873, 0.627, 0.000], [0.627, 0.127, 0.000], [0.127, 0.373, 0.000], [0.169, 0.669, 0.500], [0.669, 0.831, 0.500], [0.831, 0.331, 0.500], [0.331, 0.169, 0.500], [0.000, 0.000, 0.000], [0.500, 0.500, 0.000]], "dos_ef_per_ev_atom": 0.659, "crystal_system": "tetragonal", "vol_a3_per_cell": 223, "ef_mev_per_atom": 275}

---

Record 6
{"formula": "MnCd2Bi", "functional": "GGA-PBE", "state": "relaxed", "cell": [[-6.721, -5.853, -1.054], [4.706, -4.263, -6.341], [0.011, -6.543, -1.944]], "species": ["Mn", "Mn", "Bi", "Bi", "Cd", "Cd", "Cd", "Cd"], "frac_coords": [[0.500, 0.500, 0.000], [0.250, 0.750, 0.500], [0.000, 0.000, 0.000], [0.750, 0.250, 0.500], [0.525, 0.125, 0.250], [0.225, 0.625, 0.250], [0.375, 0.475, 0.750], [0.875, 0.775, 0.750]], "dos_ef_per_ev_atom": 1.397, "crystal_system": "tetragonal", "vol_a3_per_cell": 202, "ef_mev_per_atom": 680}

---

Record 7
{"formula": "Mn2CdBi", "functional": "GGA-PBE", "state": "relaxed", "cell": [[2.576, -2.638, 2.652], [-1.911, -2.434, 3.324], [-0.259, -4.520, -0.356]], "species": ["Mn", "Mn", "Bi", "Cd"], "frac_coords": [[0.250, 0.250, 0.250], [0.750, 0.750, 0.750], [0.500, 0.500, 0.500], [0.000, 0.000, 0.000]], "dos_ef_per_ev_atom": 3.415, "crystal_system": "cubic", "vol_a3_per_cell": 66, "ef_mev_per_atom": 883}

---

Record 8
{"formula": "MnCdBi2N", "functional": "GGA-PBE", "state": "relaxed", "cell": [[5.661, 0.000, 0.000], [0.000, 3.479, 0.000], [0.000, 0.000, 5.661]], "species": ["N", "Mn", "Bi", "Bi", "Cd"], "frac_coords": [[0.000, 0.500, 0.000], [0.000, 0.000, 0.000], [0.000, 0.000, 0.500], [0.500, 0.000, 0.000], [0.500, 0.500, 0.500]], "dos_ef_per_ev_atom": 0.530, "crystal_system": "tetragonal", "vol_a3_per_cell": 111, "formation_energy_uncorrected_ev_per_fu": 1.0}